(1)
VASP calculation (PBE+U) on crystalline K2VF5 at its relaxed geometry.

Calculated values
* theoretical density: 2.7 g/cm³
* calculated total energy: -5.30 eV per atom

abc: 4.0899 6.0176 11.3778
angles: 90.00 90.00 90.00
Space group Immm (No. 71)
Symmetry-distinct sites (fractional):
K 0.0000 0.0000 0.1708 (multiplicity 4)
V 0.0000 0.0000 0.5000 (multiplicity 2)
F 0.0000 0.2276 0.3769 (multiplicity 8)
F 0.0000 0.5000 0.0000 (multiplicity 2)


(2)
VASP calculation (PBE+U) on crystalline KVF3 at its relaxed geometry.

Calculated values
* theoretical density: 2.9 g/cm³
* calculated total energy: -5.13 eV per atom

abc: 4.7650 4.7650 14.9129
angles: 90.00 90.00 90.00
Space group I-4m2 (No. 119)
Symmetry-distinct sites (fractional):
K 0.0000 0.0000 0.1043 (multiplicity 4)
V 0.0000 0.0000 0.5000 (multiplicity 2)
V 0.0000 0.5000 0.2500 (multiplicity 2)
F 0.0000 0.2462 0.3554 (multiplicity 8)
F 0.0000 0.5000 0.5221 (multiplicity 4)


(3)
VASP calculation (PBE+U) on crystalline KVF3 at its relaxed geometry.

Calculated values
* theoretical density: 2.0 g/cm³
* calculated total energy: -5.28 eV per atom

abc: 5.8493 17.3831 4.9070
angles: 90.00 90.00 90.00
Space group Cmcm (No. 63)
Symmetry-distinct sites (fractional):
K 0.0000 0.1950 0.2500 (multiplicity 4)
V 0.0000 0.4086 0.2500 (multiplicity 4)
F 0.0000 0.5000 0.0000 (multiplicity 4)
F 0.2348 0.3249 0.2500 (multiplicity 8)


(4)
VASP calculation (PBE+U) on crystalline KVF3 at its relaxed geometry.

Calculated values
* theoretical density: 2.9 g/cm³
* calculated total energy: -5.52 eV per atom

abc: 10.9963 10.9963 10.9963
angles: 90.00 90.00 90.00
Space group Fd-3m (No. 227, origin choice 2)
Symmetry-distinct sites (fractional):
K 0.0000 0.0000 0.0000 (multiplicity 16)
V 0.0000 0.0000 0.5000 (multiplicity 16)
F 0.0798 0.3750 0.8750 (multiplicity 48)


(5)
VASP calculation (PBE+U) on crystalline KVF3 at its relaxed geometry.

Calculated values
* theoretical density: 1.9 g/cm³
* calculated total energy: -5.37 eV per atom

abc: 3.3403 7.2508 10.3766
angles: 90.00 90.00 90.00
Space group Amm2 (No. 38)
Symmetry-distinct sites (fractional):
K 0.0000 0.0000 0.0000 (multiplicity 2)
V 0.5000 0.0000 0.3683 (multiplicity 2)
F 0.0000 0.1802 0.3953 (multiplicity 4)
F 0.5000 0.0000 0.1743 (multiplicity 2)


(6)
VASP calculation (PBE+U) on crystalline KVF3 at its relaxed geometry.

Calculated values
* theoretical density: 3.7 g/cm³
* calculated total energy: -5.11 eV per atom

abc: 4.1754 4.1754 8.8449
angles: 90.00 90.00 120.00
Space group P6_3/mmc (No. 194)
Symmetry-distinct sites (fractional):
K 0.3333 0.6667 0.2500 (multiplicity 2)
V 0.0000 0.0000 0.0000 (multiplicity 2)
F 0.0000 0.0000 0.2500 (multiplicity 2)
F 0.3333 0.6667 0.5516 (multiplicity 4)


(7)
VASP calculation (PBE+U) on crystalline KVF3 at its relaxed geometry.

Calculated values
* theoretical density: 3.3 g/cm³
* calculated total energy: -5.33 eV per atom

abc: 7.3481 5.2352 7.7280
angles: 90.00 97.04 90.00
Space group P2_1/c (No. 14)
Symmetry-distinct sites (fractional):
K 0.0941 0.2153 0.1718 (multiplicity 4)
V 0.4309 0.7077 0.5630 (multiplicity 4)
F 0.1605 0.6964 0.0931 (multiplicity 4)
F 0.2946 0.1071 0.9394 (multiplicity 4)
F 0.4472 0.5626 0.8271 (multiplicity 4)


(8)
VASP calculation (PBE+U) on crystalline K3V5F12 at its relaxed geometry.

Calculated values
* theoretical density: 2.9 g/cm³
* calculated total energy: -5.56 eV per atom

abc: 14.0007 14.0007 14.0007
angles: 90.00 90.00 90.00
Space group Ia-3d (No. 230)
Symmetry-distinct sites (fractional):
K 0.0000 0.2500 0.1250 (multiplicity 24)
V 0.0000 0.0000 0.0000 (multiplicity 16)
V 0.0000 0.2500 0.3750 (multiplicity 24)
F 0.0249 0.0380 0.6469 (multiplicity 96)


(9)
VASP calculation (PBE+U) on crystalline KVF3 at its relaxed geometry.

Calculated values
* theoretical density: 2.7 g/cm³
* calculated total energy: -5.03 eV per atom

abc: 3.7384 3.7384 6.4525
angles: 90.00 90.00 90.00
Space group P4mm (No. 99)
Symmetry-distinct sites (fractional):
K 0.0000 0.0000 0.0000 (multiplicity 1)
V 0.5000 0.5000 0.4169 (multiplicity 1)
F 0.0000 0.0000 0.6231 (multiplicity 1)
F 0.0000 0.5000 0.2752 (multiplicity 2)


(10)
VASP calculation (PBE+U) on crystalline K2VF5 at its relaxed geometry.

Calculated values
* theoretical density: 2.5 g/cm³
* calculated total energy: -5.08 eV per atom

abc: 6.3884 6.3884 7.3599
angles: 90.00 90.00 90.00
Space group I4mm (No. 107)
Symmetry-distinct sites (fractional):
K 0.0000 0.5000 0.0000 (multiplicity 4)
V 0.0000 0.0000 0.2284 (multiplicity 2)
F 0.0000 0.0000 0.9787 (multiplicity 2)
F 0.2120 0.2120 0.2794 (multiplicity 8)


(11)
VASP calculation (PBE+U) on crystalline KVF3 at its relaxed geometry.

Calculated values
* theoretical density: 2.8 g/cm³
* calculated total energy: -4.65 eV per atom

abc: 4.2562 4.2562 19.2678
angles: 90.00 90.00 90.00
Space group I-4m2 (No. 119)
Symmetry-distinct sites (fractional):
K 0.0000 0.0000 0.0000 (multiplicity 2)
K 0.0000 0.5000 0.2500 (multiplicity 2)
V 0.0000 0.5000 0.6392 (multiplicity 4)
F 0.0000 0.0000 0.3282 (multiplicity 4)
F 0.0000 0.2453 0.1217 (multiplicity 8)


(12)
VASP calculation (PBE+U) on crystalline K3VF at its relaxed geometry.

Calculated values
* theoretical density: 1.8 g/cm³
* calculated total energy: -2.92 eV per atom
* ΔE to the lowest computed polymorph: 0 kJ/mol of formula units

abc: 5.5636 5.5636 5.5636
angles: 90.00 90.00 90.00
Space group Pm-3m (No. 221)
Symmetry-distinct sites (fractional):
K 0.0000 0.0000 0.5000 (multiplicity 3)
V 0.5000 0.5000 0.5000 (multiplicity 1)
F 0.0000 0.0000 0.0000 (multiplicity 1)